# ErCrClO4, relaxed, DFT PBE with a Hubbard U
data_ErCrClO4
_chemical_formula_sum 'Er2 Cr2 Cl2 O8'
_cell_length_a 6.113
_cell_length_b 6.113
_cell_length_c 6.635
_cell_angle_alpha 102.51
_cell_angle_beta 102.51
_cell_angle_gamma 71.44
_space_group_name_H-M_alt 'P 1'
_space_group_IT_number 1
loop_
_space_group_symop_operation_xyz
'x,y,z'
loop_
_atom_site_label
_atom_site_type_symbol
_atom_site_fract_x
_atom_site_fract_y
_atom_site_fract_z
Er1 Er 0.223 0.223 0.113
Er2 Er 0.777 0.777 0.887
Cr1 Cr 0.360 0.360 0.731
Cr2 Cr 0.640 0.640 0.269
Cl1 Cl 0.014 0.014 0.763
Cl2 Cl 0.986 0.986 0.237
O1 O 0.124 0.492 0.852
O2 O 0.286 0.286 0.479
O3 O 0.469 0.469 0.228
O4 O 0.492 0.124 0.852
O5 O 0.508 0.876 0.148
O6 O 0.531 0.531 0.772
O7 O 0.714 0.714 0.521
O8 O 0.876 0.508 0.148
# SG = C2/m, No. 12
# total energy = -0.5027 Ry per atom
# volume = 16.2 Å³/atom
# density = 4.672 g/cm3